Record 1
## Nd2Ga2Co2C (PBE)

Data for crystalline Nd2Ga2Co2C at its relaxed geometry.

Unit cell a=4.095 b=5.885 c=5.982 alpha=73.54 beta=69.98 gamma=69.64
Sites, in units of the cell vectors:
Co 0.190 0.708 0.912
Co 0.810 0.292 0.088
Ga 0.829 0.613 0.728
Ga 0.171 0.387 0.272
Nd 0.554 0.182 0.710
Nd 0.446 0.818 0.290
C 0.000 0.000 0.000

Calculated values
The size of the total moment is 0.00 μB per cell. As for the total energy: -6.035 eV per atom. The value obtained for the calculated volume is 124.78 Å³/f.u. As for the symmetry: C2/m, No. 12. The calculated formation energy is -0.460 eV/atom.


Record 2
## La6PPt2I3 (PBE)

Data for crystalline La6PPt2I3 at its relaxed geometry.

Unit cell a=7.558 b=7.558 c=8.336 alpha=98.66 beta=98.66 gamma=120.06
Sites, in units of the cell vectors:
La 0.273 0.273 0.806
La 0.727 0.727 0.194
La 0.934 0.597 0.807
La 0.066 0.403 0.193
La 0.597 0.934 0.807
La 0.403 0.066 0.193
I 0.163 0.837 0.500
I 0.837 0.163 0.500
I 0.500 0.500 0.500
Pt 0.333 0.667 0.000
Pt 0.667 0.333 0.000
P 0.000 0.000 0.000

Calculated values
As for the uncorrected formation energy: -1.2467 eV per atom. The size of the total moment is 0.00 μB per cell. As for the total energy: -5.556 eV per atom. The value obtained for the calculated volume is 392.98 Å³/f.u. As for the symmetry: C2/m, No. 12.


Question: calculated volume of number 2 (La6PPt2I3)?
Answer: 392.98 Å³/f.u.


Question: Look up the size of the total moment of the first one.
Answer: 0.00 μB per cell